1.
VASP calculation (PBE) on a relaxed YCu2Ge2 crystal.

Output
Its uncorrected energy is -5.146 eV per atom. As for the formation energy: -368 meV/atom. The mass density is 6.8 g cm⁻³. Its symmetry is No. 139.

The structure in extended XYZ format:
```
5
Lattice="-0.3449 1.6203 -3.8483 -4.0117 0.9421 0.7562 -0.7983 5.7476 0.2108" Properties=species:S:1:pos:R:3 pbc="T T T"
Y 0.0000 0.0000 0.0000
Ge -1.6608 4.3245 -2.5917
Ge -3.4942 3.9854 -0.2895
Cu -1.8502 2.3431 -1.1283
Cu -3.3048 5.9668 -1.7529
```

=====

2.
VASP calculation (PBE) on a relaxed Si3SeS crystal.

Output
Its uncorrected energy is -3.868 eV per atom. The uncorrected formation energy comes out at 0.908 eV/atom. The mass density is 3.0 g cm⁻³. The value obtained for the energy above the lowest structure with this stoichiometry is 0 meV per atom. Its symmetry is No. 221.

The structure in extended XYZ format:
```
5
Lattice="4.7489 0.0000 0.0000 0.0000 4.7489 0.0000 0.0000 0.0000 4.7489" Properties=species:S:1:pos:R:3 pbc="T T T"
S 0.0000 0.0000 0.0000
Si 0.0000 2.3744 0.0000
Si 0.0000 0.0000 2.3744
Si 2.3744 0.0000 0.0000
Se 2.3744 2.3744 2.3744
```

=====

3.
VASP calculation (PBE) on a relaxed K2Sb2HPd2 crystal.

Output
Its uncorrected energy is -3.815 eV per atom. The mass density is 5.3 g cm⁻³. Its symmetry is No. 12.

The structure in extended XYZ format:
```
7
Lattice="-1.4473 0.2109 4.4185 2.8549 -4.7945 3.6153 3.8333 3.3964 3.5448" Properties=species:S:1:pos:R:3 pbc="T T T"
K 2.2842 1.7711 5.5663
K 2.9568 -2.9583 6.0123
Sb 1.9635 -1.0870 3.1464
Sb 3.2774 -0.1003 8.4323
H 0.0000 0.0000 0.0000
Pd 5.2621 -0.3671 6.6438
Pd -0.0212 -0.8201 4.9348
```

=====

4.
VASP calculation (PBE) on a relaxed RbTlGeF6 crystal.

Output
Its uncorrected energy is -4.603 eV per atom. The uncorrected formation energy comes out at -2.472 eV/atom. The mass density is 4.3 g cm⁻³. Its symmetry is No. 5.

The structure in extended XYZ format:
```
9
Lattice="6.4177 0.0142 0.0012 3.2211 5.5546 -0.0017 0.0000 -0.0015 5.1688" Properties=species:S:1:pos:R:3 pbc="T T T"
Rb 6.4198 3.7093 2.5830
Tl 9.6305 5.5639 5.1679
Ge 3.2140 1.8561 2.5844
F 1.7038 1.8146 1.5301
F 2.4250 0.5686 3.6397
F 4.7254 1.8230 3.6390
F 2.4895 3.1888 3.6318
F 3.9394 3.1814 1.5288
F 4.0062 0.5623 1.5370
```

=====

5.
VASP calculation (PBE) on a relaxed Rb2UTiSe5 crystal.

Output
Its uncorrected energy is -5.451 eV per atom. The uncorrected formation energy comes out at -1.169 eV/atom. The mass density is 4.6 g cm⁻³. Its symmetry is No. 36.

The structure in extended XYZ format:
```
18
Lattice="4.3183 0.0000 0.0000 -2.1592 9.8751 0.0000 0.0000 0.0000 14.5721" Properties=species:S:1:pos:R:3 pbc="T T T"
Rb 2.1592 7.3701 12.1218
Rb 0.0000 2.4932 9.9644
Rb 0.0000 2.5050 4.8357
Rb 2.1592 7.3819 2.6784
U 2.1592 5.9350 7.6831
U 0.0000 3.9401 0.3971
Ti 2.1592 1.3003 13.5323
Ti 0.0000 8.5749 6.2462
Se 0.0000 6.5474 0.1192
Se 2.1592 3.7020 12.9926
Se 2.1592 0.1918 11.5211
Se 0.0000 6.0861 9.4594
Se 2.1592 8.8945 7.4738
Se 2.1592 3.3278 7.4053
Se 0.0000 6.1731 5.7065
Se 0.0000 9.6833 4.2351
Se 2.1592 3.7890 2.1733
Se 0.0000 0.9807 0.1877
```

=====

6.
VASP calculation (PBE) on a relaxed CsCdHgPd2 crystal.

Output
Its uncorrected energy is -2.251 eV per atom. As for the formation energy: 240 meV/atom. The mass density is 7.0 g cm⁻³. Its symmetry is No. 123.

The structure in extended XYZ format:
```
5
Lattice="5.2578 0.0000 0.0000 0.0000 5.6377 0.0000 0.0000 0.0000 5.2578" Properties=species:S:1:pos:R:3 pbc="T T T"
Cs 2.6289 2.8189 2.6289
Hg 0.0000 2.8189 0.0000
Pd 0.0000 0.0000 2.6289
Pd 2.6289 0.0000 0.0000
Cd 0.0000 0.0000 0.0000
```